The following is a DFT calculation (PBE) of a relaxed structure of InFeAg2Br.

Calculated values
Formation energy (no corrections) ... 0.492 eV/atom
VASP energy ... -16.11 eV per cell

Unit cell a=5.1619 b=5.1619 c=4.7159 alpha=90.00 beta=90.00 gamma=90.00
Fractional coordinates of all 5 atoms:
In: 0.0000 0.0000 0.0000
Fe: 0.5000 0.5000 0.5000
Ag: 0.0000 0.5000 0.5000
Ag: 0.5000 0.0000 0.5000
Br: 0.5000 0.5000 0.0000